A plane-wave DFT calculation with GGA-PBE was carried out for Ba2NaCaRh after structural relaxation.

Output
Total magnetic moment in μB/cell: 0.00
Fermi-level density of states in states/eV/atom: 0.916
Formation energy from the elements in eV/atom: 0.07
ρ in g/cm3: 3.44
E_tot in eV/cell: -14.2

```
data_Ba2NaCaRh
_symmetry_space_group_name_H-M 'P 1'
_symmetry_Int_Tables_number 1
_cell_length_a 5.967
_cell_length_b 5.967
_cell_length_c 5.977
_cell_angle_alpha 90.00
_cell_angle_beta 90.00
_cell_angle_gamma 90.00
loop_
_symmetry_equiv_pos_as_xyz
'x,y,z'
loop_
_atom_site_label
_atom_site_fract_x
_atom_site_fract_y
_atom_site_fract_z
Ca1 0.500 0.500 0.500
Na1 0.000 0.000 0.500
Rh1 0.000 0.000 0.000
Ba1 0.000 0.500 0.000
Ba2 0.500 0.000 0.000
```


A plane-wave DFT calculation with GGA-PBE was carried out for Dy5FeHg2 after structural relaxation.

Output
Total magnetic moment in μB/cell: 0.00
Fermi-level density of states in states/eV/atom: 0.918
Formation energy from the elements in eV/atom: -0.23
ρ in g/cm3: 9.89
E_tot in eV/cell: -67.8

```
data_Dy5FeHg2
_symmetry_space_group_name_H-M 'P 1'
_symmetry_Int_Tables_number 1
_cell_length_a 4.051
_cell_length_b 8.695
_cell_length_c 12.104
_cell_angle_alpha 90.00
_cell_angle_beta 90.00
_cell_angle_gamma 90.00
loop_
_symmetry_equiv_pos_as_xyz
'x,y,z'
loop_
_atom_site_label
_atom_site_fract_x
_atom_site_fract_y
_atom_site_fract_z
Hg1 0.500 0.932 0.678
Hg2 0.500 0.068 0.322
Hg3 0.500 0.568 0.178
Hg4 0.500 0.432 0.822
Dy1 0.000 0.856 0.189
Dy2 0.000 0.000 0.500
Dy3 0.000 0.144 0.811
Dy4 0.500 0.823 0.928
Dy5 0.500 0.677 0.428
Dy6 0.500 0.323 0.572
Dy7 0.500 0.177 0.072
Dy8 0.000 0.500 0.000
Dy9 0.000 0.644 0.689
Dy10 0.000 0.356 0.311
Fe1 0.000 0.000 0.000
Fe2 0.000 0.500 0.500
```


A plane-wave DFT calculation with GGA-PBE was carried out for Ho3Sn3Ru2 after structural relaxation.

Output
Total magnetic moment in μB/cell: 0.00
Fermi-level density of states in states/eV/atom: 0.839
Formation energy from the elements in eV/atom: -0.54
ρ in g/cm3: 9.45
E_tot in eV/cell: -194.6

```
data_Ho3Sn3Ru2
_symmetry_space_group_name_H-M 'P 1'
_symmetry_Int_Tables_number 1
_cell_length_a 5.844
_cell_length_b 8.329
_cell_length_c 15.208
_cell_angle_alpha 90.00
_cell_angle_beta 90.00
_cell_angle_gamma 90.00
loop_
_symmetry_equiv_pos_as_xyz
'x,y,z'
loop_
_atom_site_label
_atom_site_fract_x
_atom_site_fract_y
_atom_site_fract_z
Ru1 0.644 0.600 0.112
Ru2 0.144 0.900 0.612
Ru3 0.356 0.400 0.612
Ru4 0.356 0.400 0.888
Ru5 0.856 0.100 0.388
Ru6 0.856 0.100 0.112
Ru7 0.644 0.600 0.388
Ru8 0.144 0.900 0.888
Sn1 0.599 0.319 0.034
Sn2 0.401 0.681 0.966
Sn3 0.868 0.827 0.750
Sn4 0.132 0.173 0.250
Sn5 0.401 0.681 0.534
Sn6 0.632 0.327 0.750
Sn7 0.099 0.181 0.966
Sn8 0.099 0.181 0.534
Sn9 0.901 0.819 0.466
Sn10 0.599 0.319 0.466
Sn11 0.901 0.819 0.034
Sn12 0.368 0.673 0.250
Ho1 0.867 0.825 0.250
Ho2 0.100 0.466 0.388
Ho3 0.100 0.466 0.112
Ho4 0.633 0.325 0.250
Ho5 0.133 0.175 0.750
Ho6 0.600 0.034 0.612
Ho7 0.600 0.034 0.888
Ho8 0.400 0.966 0.112
Ho9 0.367 0.675 0.750
Ho10 0.900 0.534 0.888
Ho11 0.400 0.966 0.388
Ho12 0.900 0.534 0.612
```


A plane-wave DFT calculation with GGA-PBE was carried out for SmGdTm after structural relaxation.

Output
Total magnetic moment in μB/cell: 7.59
Fermi-level density of states in states/eV/atom: 1.688
Formation energy from the elements in eV/atom: 0.07
ρ in g/cm3: 8.26
E_tot in eV/cell: -23.1

```
data_SmGdTm
_symmetry_space_group_name_H-M 'P 1'
_symmetry_Int_Tables_number 1
_cell_length_a 3.459
_cell_length_b 5.656
_cell_length_c 5.656
_cell_angle_alpha 120.00
_cell_angle_beta 90.00
_cell_angle_gamma 90.00
loop_
_symmetry_equiv_pos_as_xyz
'x,y,z'
loop_
_atom_site_label
_atom_site_fract_x
_atom_site_fract_y
_atom_site_fract_z
Gd1 0.167 0.000 0.000
Tm1 0.166 0.667 0.333
Sm1 0.667 0.333 0.667
```